A | {"formula": "KCuTeI2", "functional": "PBE-GGA", "state": "optimized geometry", "lattice": [[6.493, 0.000, 0.000], [0.000, 6.493, 0.000], [0.000, 0.000, 6.425]], "species": ["K", "Cu", "Te", "I", "I"], "fractional_positions": [[0.000, 0.000, 0.000], [0.500, 0.500, 0.500], [0.000, 0.000, 0.500], [0.000, 0.500, 0.000], [0.500, 0.000, 0.000]], "vol_a3_per_atom": 54.175, "sg": "No. 123", "magnetic_moment_mub_per_cell": 2.03}



B | {"formula": "KCuTeI2", "functional": "PBE-GGA", "state": "optimized geometry", "lattice": [[5.787, 0.000, 0.000], [0.000, 5.787, 0.000], [0.000, 0.000, 5.148]], "species": ["K", "Cu", "Te", "I", "I"], "fractional_positions": [[0.000, 0.000, 0.000], [0.500, 0.500, 0.500], [0.500, 0.500, 0.000], [0.000, 0.500, 0.500], [0.500, 0.000, 0.500]], "vol_a3_per_atom": 34.487, "sg": "No. 123", "magnetic_moment_mub_per_cell": 0.96}



Q: Which of them is the most stable? A: B.



A | {"formula": "La2CuI", "functional": "PBE-GGA", "state": "optimized geometry", "lattice": [[2.138, 1.234, 8.104], [-2.138, 1.234, 8.104], [0.000, -2.468, 8.104]], "species": ["La", "La", "Cu", "I"], "fractional_positions": [[0.000, 0.000, 0.000], [0.198, 0.198, 0.198], [0.599, 0.599, 0.599], [0.432, 0.432, 0.432]], "vol_a3_per_atom": 32.067, "sg": "No. 160", "magnetic_moment_mub_per_cell": 0.00}



B | {"formula": "La2CuI", "functional": "PBE-GGA", "state": "optimized geometry", "lattice": [[3.669, 0.000, 0.000], [0.000, 3.669, 0.000], [0.000, 0.000, 8.500]], "species": ["La", "La", "Cu", "I"], "fractional_positions": [[0.000, 0.000, 0.217], [0.000, 0.000, 0.783], [0.500, 0.500, 0.000], [0.500, 0.500, 0.500]], "vol_a3_per_atom": 28.609, "sg": "No. 123", "magnetic_moment_mub_per_cell": 0.14}



C | {"formula": "La2CuI", "functional": "PBE-GGA", "state": "optimized geometry", "lattice": [[-4.083, 4.083, 3.761], [4.083, -4.083, 3.761], [4.083, 4.083, -3.761]], "species": ["La", "La", "La", "La", "Cu", "Cu", "I", "I"], "fractional_positions": [[0.086, 0.625, 0.961], [0.375, 0.336, 0.461], [0.664, 0.125, 0.039], [0.875, 0.914, 0.539], [0.000, 0.000, 0.000], [0.750, 0.250, 0.500], [0.250, 0.750, 0.500], [0.500, 0.500, 0.000]], "vol_a3_per_atom": 31.355, "sg": "No. 122", "magnetic_moment_mub_per_cell": 0.00}



D | {"formula": "La2CuI", "functional": "PBE-GGA", "state": "optimized geometry", "lattice": [[2.160, 1.247, 7.908], [-2.160, 1.247, 7.908], [0.000, -2.494, 7.908]], "species": ["La", "La", "Cu", "I"], "fractional_positions": [[0.236, 0.236, 0.236], [0.764, 0.764, 0.764], [0.500, 0.500, 0.500], [0.000, 0.000, 0.000]], "vol_a3_per_atom": 31.947, "sg": "No. 166", "magnetic_moment_mub_per_cell": 0.00}



Q: Which of them is the most stable? A: D.